Density functional theory data (GGA-PBE) for NaZrBr3 after structural relaxation.

a b c (Å): 5.408 5.408 5.408
angles (deg): 90.00 90.00 90.00
Positions (direct):
1 Na 0.000 0.000 0.000
2 Zr 0.500 0.500 0.500
3 Br 0.000 0.500 0.500
4 Br 0.500 0.000 0.500
5 Br 0.500 0.500 0.000

Output
distance to the lowest polymorph of the same formula: 0 meV per atom
total energy: -3.93 eV per atom
SG: No. 221
raw formation energy: -4.8 eV per formula unit